SbWO2 after structural relaxation, computed with PBE with a Hubbard U.

Lattice parameters (Å, degrees): 7.6957 7.6957 7.6957 22.72 22.72 22.72
Positions (direct):
Sb  0.0000  0.0000  0.0000
W  0.5000  0.5000  0.5000
O  0.4162  0.4162  0.4162
O  0.5838  0.5838  0.5838

Crystal system ... trigonal
DFT total energy ... -23.2 eV per formula unit